i.
# ErZn3Ni

A relaxed ErZn3Ni crystal (PBE, Alexandria).

a = 5.082 Å, b = 5.322 Å, c = 6.621 Å
α = 90.00°, β = 111.46°, γ = 90.00°
Space group P2_1/m (No. 11)
Inequivalent atoms, fractional coordinates:
Er 0.207 0.250 0.139 [2 per cell]
Zn 0.221 0.008 0.688 [4 per cell]
Zn 0.309 0.750 0.376 [2 per cell]
Ni 0.376 0.750 0.028 [2 per cell]

Results
- total moment (μB/f.u.) = 0.00
- theoretical density (g/cm³) = 8.4

ii.
# ErZn3Ni

A relaxed ErZn3Ni crystal (PBE, Alexandria).

a = 4.245 Å, b = 15.386 Å, c = 5.129 Å
α = 90.00°, β = 90.00°, γ = 90.00°
Space group Cmcm (No. 63)
Inequivalent atoms, fractional coordinates:
Er 0.000 0.081 0.250 [4 per cell]
Zn 0.000 0.296 0.501 [8 per cell]
Zn 0.000 0.443 0.250 [4 per cell]
Ni 0.000 0.149 0.750 [4 per cell]

Results
- total moment (μB/f.u.) = 0.00
- theoretical density (g/cm³) = 8.4

Which of them is most stable, and which least? Most stable: i; least stable: ii.